# Sm4Ir3Pd (PBE, optimized geometry)
data_Sm4Ir3Pd
_chemical_formula_sum 'Sm4 Ir3 Pd1'
_cell_length_a 3.9534
_cell_length_b 4.2806
_cell_length_c 10.8655
_cell_angle_alpha 90.00
_cell_angle_beta 90.00
_cell_angle_gamma 90.00
_symmetry_space_group_name_H-M 'P 1'
_symmetry_Int_Tables_number 1
_symmetry_space_group_name_Hall 'P 1'
loop_
_atom_site_label
_atom_site_fract_x
_atom_site_fract_y
_atom_site_fract_z
Ir1 0.0000 0.5000 0.5808
Ir2 0.0000 0.0000 0.4144
Ir3 0.5000 0.0000 0.9178
Pd1 0.5000 0.5000 0.0831
Sm1 0.5000 0.5000 0.3643
Sm2 0.0000 0.5000 0.8529
Sm3 0.0000 0.0000 0.1437
Sm4 0.5000 0.0000 0.6429
# Calculated volume   23.0 Å³ per atom
# D(E_F)   3.0 states/eV/f.u.
# DFT total energy   -56.470 eV per cell
# Magnetization   0.00 μB per formula unit